DFT (PBEsol) results for crystalline CaTc2W at its relaxed geometry. Values from VASP.

Space group ... P4/mmm
Energy relative to the elements ... 0.5961 eV/atom
Offset from the most stable computed form ... 88 meV per atom

The structure in Quantum ESPRESSO input format:
```
&SYSTEM
  ibrav = 0, nat = 4, ntyp = 3
/
ATOMIC_SPECIES
Ca 40.08 Ca.upf
Tc 98.00 Tc.upf
W 183.84 W.upf
CELL_PARAMETERS angstrom
4.5624 0.0000 0.0000
0.0000 4.5624 0.0000
0.0000 0.0000 3.0904
ATOMIC_POSITIONS crystal
Ca 0.0000 0.0000 0.0000
Tc 0.0000 0.5000 0.5000
Tc 0.5000 0.0000 0.5000
W 0.5000 0.5000 0.0000
```

DFT (PBEsol) results for crystalline MnTcSb2C at its relaxed geometry. Values from VASP.

Space group ... P4/mmm
Raw formation energy ... 1.95 eV/atom

The structure in Quantum ESPRESSO input format:
```
&SYSTEM
  ibrav = 0, nat = 5, ntyp = 4
/
ATOMIC_SPECIES
Mn 54.94 Mn.upf
Tc 98.00 Tc.upf
Sb 121.76 Sb.upf
C 12.01 C.upf
CELL_PARAMETERS angstrom
4.9881 0.0000 0.0000
0.0000 4.9881 0.0000
0.0000 0.0000 4.8685
ATOMIC_POSITIONS crystal
Mn 0.0000 0.0000 0.0000
Tc 0.0000 0.0000 0.5000
Sb 0.0000 0.5000 0.5000
Sb 0.5000 0.0000 0.5000
C 0.5000 0.5000 0.0000
```

Ρ values, unit g/cm³, following the record order: 10.8; 5.6.